# BaTiNF2 (PBE, relaxed)
# Uncorrected energy   -24.8 eV per formula unit
# ΔE_f (raw)   -55.73 kJ per mole of atoms
data_BaTiNF2
_chemical_formula_sum 'Ba1 Ti1 N1 F2'
_symmetry_space_group_name_H-M 'P 4/m m m'
_symmetry_Int_Tables_number 123
_symmetry_space_group_name_Hall '-P 4 2'
_cell_length_a 4.849
_cell_length_b 4.849
_cell_length_c 4.893
_cell_angle_alpha 90.00
_cell_angle_beta 90.00
_cell_angle_gamma 90.00
loop_
_atom_site_label
_atom_site_type_symbol
_atom_site_fract_x
_atom_site_fract_y
_atom_site_fract_z
Ba1 Ba 0.000 0.000 0.000
Ti1 Ti 0.500 0.500 0.500
N1 N 0.000 0.000 0.500
F1 F 0.000 0.500 0.000